[1]
A plane-wave DFT calculation with PBE-GGA was carried out for a relaxed structure of LaCeTe.

**Fermi-level density of states**: 4.8 states/eV/f.u.
**Formation energy from raw total energies**: -2.92 eV/f.u.
**Space group**: P2_1/m, No. 11
**Calculated total energy**: -67.68 eV for the cell shown
**Polymorph energy (0 for the lowest one)**: 0.0 kJ per mole of atoms
**Magnetization**: 0.2487 μB/atom

Unit cell a=4.4033 b=9.0406 c=9.1660 alpha=91.87 beta=90.00 gamma=90.00
Last column: nearest neighbours and their distance in Å.
Sites, in units of the cell vectors:
Te (0.2500, 0.6300, 0.7256)  5 La 3.24-3.36, 4 Ce 3.25-3.42
Te (0.7500, 0.8700, 0.2744)  5 La 3.24-3.36, 4 Ce 3.25-3.42
Te (0.7500, 0.3700, 0.2744)  5 La 3.24-3.36, 4 Ce 3.25-3.42
Te (0.2500, 0.1300, 0.7256)  5 La 3.24-3.36, 4 Ce 3.25-3.42
Ce (0.2500, 0.9007, 0.9916)  2 Ce 2.84
Ce (0.7500, 0.5993, 0.0084)  2 Ce 2.84
Ce (0.7500, 0.0993, 0.0084)  2 Ce 2.84
Ce (0.2500, 0.4007, 0.9916)  2 Ce 2.84
La (0.2500, 0.6237, 0.3592)  5 Te 3.24-3.36
La (0.7500, 0.8763, 0.6408)  5 Te 3.24-3.36
La (0.7500, 0.3763, 0.6408)  5 Te 3.24-3.36
La (0.2500, 0.1237, 0.3592)  5 Te 3.24-3.36


[2]
A plane-wave DFT calculation with PBE-GGA was carried out for a relaxed structure of Ca3P3Ir2.

**Fermi-level density of states**: 4.0 states/eV/f.u.
**Calculated formation energy**: -0.9001 eV per atom
**Space group**: Cmcm, No. 63
**Calculated total energy**: -94.31 eV for the cell shown
**Magnetization**: 0.0000 μB/atom

Unit cell a=4.1909 b=5.7810 c=14.0148 alpha=90.00 beta=90.00 gamma=111.25
Last column: nearest neighbours and their distance in Å.
Sites, in units of the cell vectors:
Ca (0.9202, 0.8404, 0.3913)  7 P 3.04-3.40, 4 Ir 3.10-3.24
Ca (0.0798, 0.1596, 0.8913)  7 P 3.04-3.40, 4 Ir 3.10-3.24
Ca (0.9202, 0.8404, 0.1087)  7 P 3.04-3.40, 4 Ir 3.10-3.24
Ca (0.0798, 0.1596, 0.6087)  7 P 3.04-3.40, 4 Ir 3.10-3.24
Ca (0.6353, 0.2707, 0.2500)  4 P 2.94-2.97, 4 Ir 3.06
Ca (0.3647, 0.7293, 0.7500)  4 P 2.94-2.97, 4 Ir 3.06
P (0.6506, 0.3012, 0.4618)  3 Ir 2.35-2.47
P (0.3494, 0.6988, 0.9618)  3 Ir 2.35-2.47
P (0.6506, 0.3012, 0.0382)  3 Ir 2.35-2.47
P (0.3494, 0.6988, 0.5382)  3 Ir 2.35-2.47
P (0.3272, 0.6544, 0.2500)  2 Ir 2.45
P (0.6728, 0.3456, 0.7500)  2 Ir 2.45
Ir (0.7918, 0.5837, 0.8993)  4 P 2.35-2.47
Ir (0.2082, 0.4163, 0.3993)  4 P 2.35-2.47
Ir (0.7918, 0.5837, 0.6007)  4 P 2.35-2.47
Ir (0.2082, 0.4163, 0.1007)  4 P 2.35-2.47


[3]
A plane-wave DFT calculation with PBE-GGA was carried out for a relaxed structure of BaLi2Hg.

**Fermi-level density of states**: 2.5 states/eV/f.u.
**Calculated formation energy**: -0.2650 eV per atom
**Space group**: Pnma, No. 62
**Calculated total energy**: -56.90 eV for the cell shown
**Magnetization**: 0.0000 μB/atom

Unit cell a=6.4779 b=8.3455 c=17.4800 alpha=90.00 beta=90.00 gamma=90.00
Last column: nearest neighbours and their distance in Å.
Sites, in units of the cell vectors:
Ba (0.4813, 0.2500, 0.1361)  3 Hg 3.41-3.48, 6 Li 3.72-3.76
Ba (0.9813, 0.7500, 0.3639)  3 Hg 3.41-3.48, 6 Li 3.72-3.76
Ba (0.5187, 0.7500, 0.8639)  3 Hg 3.41-3.48, 6 Li 3.72-3.76
Ba (0.0187, 0.2500, 0.6361)  3 Hg 3.41-3.48, 6 Li 3.72-3.76
Ba (0.7747, 0.2500, 0.3937)  3 Hg 3.42-3.65, 8 Li 3.52-3.81
Ba (0.2747, 0.7500, 0.1063)  3 Hg 3.42-3.65, 8 Li 3.52-3.81
Ba (0.2253, 0.7500, 0.6063)  3 Hg 3.42-3.65, 8 Li 3.52-3.81
Ba (0.7253, 0.2500, 0.8937)  3 Hg 3.42-3.65, 8 Li 3.52-3.81
Li (0.9686, 0.0616, 0.2086)  3 Hg 2.91-3.04, 2 Li 3.14-3.17
Li (0.4686, 0.9384, 0.2914)  3 Hg 2.91-3.04, 2 Li 3.14-3.17
Li (0.0314, 0.5616, 0.7914)  3 Hg 2.91-3.04, 2 Li 3.14-3.17
Li (0.5314, 0.4384, 0.7086)  3 Hg 2.91-3.04, 2 Li 3.14-3.17
Li (0.0314, 0.9384, 0.7914)  3 Hg 2.91-3.04, 2 Li 3.14-3.17
Li (0.5314, 0.0616, 0.7086)  3 Hg 2.91-3.04, 2 Li 3.14-3.17
Li (0.9686, 0.4384, 0.2086)  3 Hg 2.91-3.04, 2 Li 3.14-3.17
Li (0.4686, 0.5616, 0.2914)  3 Hg 2.91-3.04, 2 Li 3.14-3.17
Li (0.8124, 0.5642, 0.0479)  3 Hg 2.87-2.91, 3 Li 3.10-3.17
Li (0.3124, 0.4358, 0.4521)  3 Hg 2.87-2.91, 3 Li 3.10-3.17
Li (0.1876, 0.0642, 0.9521)  3 Hg 2.87-2.91, 3 Li 3.10-3.17
Li (0.6876, 0.9358, 0.5479)  3 Hg 2.87-2.91, 3 Li 3.10-3.17
Li (0.1876, 0.4358, 0.9521)  3 Hg 2.87-2.91, 3 Li 3.10-3.17
Li (0.6876, 0.5642, 0.5479)  3 Hg 2.87-2.91, 3 Li 3.10-3.17
Li (0.8124, 0.9358, 0.0479)  3 Hg 2.87-2.91, 3 Li 3.10-3.17
Li (0.3124, 0.0642, 0.4521)  3 Hg 2.87-2.91, 3 Li 3.10-3.17
Hg (0.2555, 0.2500, 0.3132)  6 Li 2.91-3.04
Hg (0.7555, 0.7500, 0.1868)  6 Li 2.91-3.04
Hg (0.7445, 0.7500, 0.6868)  6 Li 2.91-3.04
Hg (0.2445, 0.2500, 0.8132)  6 Li 2.91-3.04
Hg (0.9871, 0.2500, 0.0688)  6 Li 2.87-2.91
Hg (0.4871, 0.7500, 0.4312)  6 Li 2.87-2.91
Hg (0.0129, 0.7500, 0.9312)  6 Li 2.87-2.91
Hg (0.5129, 0.2500, 0.5688)  6 Li 2.87-2.91


[4]
A plane-wave DFT calculation with PBE-GGA was carried out for a relaxed structure of SrCdH8Pd2.

**Fermi-level density of states**: 2.7 states/eV/f.u.
**Space group**: R-3, No. 148
**Calculated total energy**: -39.78 eV for the cell shown
**Magnetization**: 0.0000 μB/atom

Unit cell a=5.0279 b=5.0279 c=6.5367 alpha=67.38 beta=67.38 gamma=60.00
Last column: nearest neighbours and their distance in Å.
Sites, in units of the cell vectors:
Sr (0.5000, 0.5000, 0.5000)  6 H 2.45
Cd (0.0000, 0.0000, 0.0000)  6 H 2.04
H (0.1897, 0.1897, 0.4309)  1 Pd 1.62
H (0.6016, 0.2916, 0.1821)  1 Pd 1.71
H (0.8103, 0.8103, 0.5691)  1 Pd 1.62
H (0.9247, 0.6016, 0.1821)  1 Pd 1.71
H (0.0753, 0.3984, 0.8179)  1 Pd 1.71
H (0.2916, 0.9247, 0.1821)  1 Pd 1.71
H (0.7084, 0.0753, 0.8179)  1 Pd 1.71
H (0.3984, 0.7084, 0.8179)  1 Pd 1.71
Pd (0.2817, 0.2817, 0.1549)  4 H 1.62-1.71
Pd (0.7183, 0.7183, 0.8451)  4 H 1.62-1.71


[5]
A plane-wave DFT calculation with PBE-GGA was carried out for a relaxed structure of Rb2TaGaI6.

**Fermi-level density of states**: 7.9 states/eV/f.u.
**Formation energy from raw total energies**: -7.11 eV/f.u.
**Space group**: Fm-3m, No. 225
**Calculated total energy**: -33.23 eV for the cell shown
**Magnetization**: 0.2000 μB/atom

Unit cell a=8.5017 b=8.5017 c=8.5023 alpha=60.00 beta=60.00 gamma=90.00
Last column: nearest neighbours and their distance in Å.
Sites, in units of the cell vectors:
I (0.2366, 0.2366, 0.5269)  1 Ta 2.84, 1 Ga 3.17
I (0.7634, 0.7634, 0.4731)  1 Ta 2.84, 1 Ga 3.17
I (0.2366, 0.2366, 0.0000)  1 Ta 2.84, 1 Ga 3.17
I (0.7634, 0.7634, 0.0000)  1 Ta 2.84, 1 Ga 3.17
I (0.7634, 0.2366, 0.0000)  1 Ta 2.84, 1 Ga 3.17
I (0.2366, 0.7634, 0.0000)  1 Ta 2.84, 1 Ga 3.17
Ga (0.5000, 0.5000, 0.0000)  6 I 3.17
Rb (0.7500, 0.2500, 0.5000)  12 I 4.25
Rb (0.2500, 0.7500, 0.5000)  12 I 4.25
Ta (0.0000, 0.0000, 0.0000)  6 I 2.84


[6]
A plane-wave DFT calculation with PBE-GGA was carried out for a relaxed structure of TiCrTc2.

**Fermi-level density of states**: 5.8 states/eV/f.u.
**Calculated formation energy**: 0.4221 eV per atom
**Space group**: I-42d, No. 122
**Calculated total energy**: -73.12 eV for the cell shown
**Magnetization**: 0.0001 μB/atom

Unit cell a=6.8372 b=6.8372 c=5.4951 alpha=51.53 beta=51.53 gamma=90.00
Last column: nearest neighbours and their distance in Å.
Sites, in units of the cell vectors:
Cr (0.0000, 0.0000, 0.0000)  4 Tc 2.37, 2 Ti 2.61
Cr (0.7500, 0.2500, 0.5000)  4 Tc 2.37, 2 Ti 2.61
Tc (0.6555, 0.1250, 0.2500)  2 Cr 2.37, 2 Tc 2.65, 2 Ti 2.65
Tc (0.0945, 0.6250, 0.2500)  2 Cr 2.37, 2 Tc 2.65, 2 Ti 2.65
Tc (0.3750, 0.3445, 0.7500)  2 Cr 2.37, 2 Tc 2.65, 2 Ti 2.65
Tc (0.8750, 0.9055, 0.7500)  2 Cr 2.37, 2 Tc 2.65, 2 Ti 2.65
Ti (0.5000, 0.5000, 0.0000)  2 Cr 2.61, 4 Tc 2.65
Ti (0.2500, 0.7500, 0.5000)  2 Cr 2.61, 4 Tc 2.65